(1)
# Re2AgOs

A relaxed Re2AgOs crystal (GGA-PBE, Alexandria).

a b c (Å): 3.858 3.858 8.162
angles (deg): 90.00 90.00 90.00
Space group I4/mmm (No. 139)
Symmetry-distinct sites (fractional):
Re: 0.000 0.500 0.250 (multiplicity 4)
Ag: 0.000 0.000 0.000 (multiplicity 2)
Os: 0.000 0.000 0.500 (multiplicity 2)

---

(2)
# Re2AgOs

A relaxed Re2AgOs crystal (GGA-PBE, Alexandria).

a b c (Å): 2.766 2.766 8.105
angles (deg): 90.00 90.00 90.00
Space group P4mm (No. 99)
Symmetry-distinct sites (fractional):
Re: 0.000 0.000 0.000 (multiplicity 1)
Re: 0.500 0.500 0.246 (multiplicity 1)
Ag: 0.000 0.000 0.512 (multiplicity 1)
Os: 0.500 0.500 0.781 (multiplicity 1)

---

(3)
# Re2AgOs

A relaxed Re2AgOs crystal (GGA-PBE, Alexandria).

a b c (Å): 9.402 2.767 4.805
angles (deg): 90.00 100.75 90.00
Space group C2/m (No. 12)
Symmetry-distinct sites (fractional):
Re: 0.237 0.000 0.232 (multiplicity 4)
Ag: 0.000 0.000 0.500 (multiplicity 2)
Os: 0.000 0.500 0.000 (multiplicity 2)

---

Energy of formation: 0.64, 0.41, 0.49 (eV/atom)